## AgP2OsS (PBE-GGA)

Data for crystalline AgP2OsS at its relaxed geometry.

Summary:
For the uncorrected formation energy, the calculation gives 0.672 eV per atom. For the density of states at the Fermi level, the calculation gives 0.4541 states/eV per atom. The offset from the most stable computed form is 0.000 eV/f.u. Its crystal system is tetragonal. For the electronic total energy, the calculation gives -5.1334 eV per atom.

```
5
Lattice="4.4290 0.0000 0.0000 0.0000 4.4290 0.0000 0.0000 0.0000 5.4478" Properties=species:S:1:pos:R:3 pbc="T T T"
Ag 0.0000 0.0000 0.0000
P 0.0000 2.2145 2.7239
P 2.2145 0.0000 2.7239
Os 2.2145 2.2145 2.7239
S 2.2145 2.2145 0.0000
```

***

## CaInRePt2 (PBE-GGA)

Data for crystalline CaInRePt2 at its relaxed geometry.

Summary:
For the density of states at the Fermi level, the calculation gives 0.7296 states/eV per atom. For the calculated formation energy, the calculation gives 291.8 meV per atom. Its crystal system is tetragonal. For the electronic total energy, the calculation gives -5.5622 eV per atom.

```
5
Lattice="4.9401 0.0000 0.0000 0.0000 4.9401 0.0000 0.0000 0.0000 5.0987" Properties=species:S:1:pos:R:3 pbc="T T T"
Ca 0.0000 0.0000 0.0000
In 2.4700 2.4700 0.0000
Re 2.4700 2.4700 2.5494
Pt 0.0000 2.4700 2.5494
Pt 2.4700 0.0000 2.5494
```

***

## CsNaCo2Br8 (PBE-GGA)

Data for crystalline CsNaCo2Br8 at its relaxed geometry.

Summary:
For the uncorrected formation energy, the calculation gives -0.748 eV per atom. For the density of states at the Fermi level, the calculation gives 1.0394 states/eV per atom. Its crystal system is trigonal. For the electronic total energy, the calculation gives -3.2283 eV per atom.

```
12
Lattice="3.4974 2.0192 10.0927 -3.4974 2.0192 10.0927 0.0000 -4.0384 10.0927" Properties=species:S:1:pos:R:3 pbc="T T T"
Cs 0.0000 0.0000 0.0000
Na 0.0000 0.0000 15.1390
Co 0.0000 0.0000 7.5740
Co 0.0000 0.0000 22.7040
Br -2.4718 -0.0564 13.3441
Br -1.1871 -2.1688 16.9338
Br 0.0000 0.0000 9.9012
Br 1.2847 -2.1125 13.3442
Br -1.2847 2.1125 16.9338
Br 0.0000 0.0000 20.3768
Br 1.1871 2.1688 13.3441
Br 2.4718 0.0564 16.9338
```

***

## KLi2Pb3 (PBE-GGA)

Data for crystalline KLi2Pb3 at its relaxed geometry.

Summary:
For the density of states at the Fermi level, the calculation gives 0.3184 states/eV per atom. For the calculated formation energy, the calculation gives -209.5 meV per atom. Its crystal system is orthorhombic. For the electronic total energy, the calculation gives -2.8846 eV per atom.

```
12
Lattice="6.0102 -4.8587 0.0000 6.0102 4.8587 0.0000 0.0000 0.0000 6.1014" Properties=species:S:1:pos:R:3 pbc="T T T"
K 6.0102 3.3644 4.5761
K 6.0102 -3.3644 1.5254
Li 3.3829 0.0000 0.0000
Li 3.3829 0.0000 3.0507
Li 8.6376 0.0000 0.0000
Li 8.6376 0.0000 3.0507
Pb 3.7118 2.6384 1.5254
Pb 8.3087 2.6384 1.5254
Pb 6.0102 0.4967 1.5254
Pb 6.0102 -0.4967 4.5761
Pb 3.7118 -2.6384 4.5761
Pb 8.3087 -2.6384 4.5761
```

***

## Y4SbPb (PBE-GGA)

Data for crystalline Y4SbPb at its relaxed geometry.

Summary:
For the uncorrected formation energy, the calculation gives -0.518 eV per atom. For the density of states at the Fermi level, the calculation gives 1.2403 states/eV per atom. The offset from the most stable computed form is 0.000 eV/f.u. Its crystal system is monoclinic. For the electronic total energy, the calculation gives -6.1324 eV per atom.

```
12
Lattice="4.5819 -6.9826 0.0000 4.5819 6.9826 0.0000 -3.2524 0.0000 5.6577" Properties=species:S:1:pos:R:3 pbc="T T T"
Y 0.5442 4.3076 5.1908
Y 0.5001 1.0689 4.0342
Y 3.7411 4.3076 3.2958
Y 2.1263 -1.0689 1.2053
Y 3.7852 1.0689 4.4524
Y 2.1704 -4.3076 2.3619
Y 5.4114 -1.0689 1.6236
Y 5.3673 -4.3076 0.4670
Sb 3.7688 1.6887 1.4144
Sb 2.1426 -1.6887 4.2433
Pb 3.7688 6.9759 1.4144
Pb 2.1426 -6.9759 4.2433
```

***

## BeReIr (PBE-GGA)

Data for crystalline BeReIr at its relaxed geometry.

Summary:
For the density of states at the Fermi level, the calculation gives 0.9364 states/eV per atom. For the calculated formation energy, the calculation gives -113.1 meV per atom. The offset from the most stable computed form is 0.613 eV/f.u. Its crystal system is orthorhombic. For the electronic total energy, the calculation gives -8.4582 eV per atom.

```
12
Lattice="5.0903 0.0000 0.0000 0.0000 4.0059 0.0000 0.0000 0.0000 7.5068" Properties=species:S:1:pos:R:3 pbc="T T T"
Be 1.0305 1.0015 0.8026
Be 1.5147 3.0044 4.5560
Be 3.5756 1.0015 2.9508
Be 4.0598 3.0044 6.7042
Re 0.2939 1.0015 5.8218
Re 2.2512 3.0044 2.0684
Re 2.8391 1.0015 5.4384
Re 4.7964 3.0044 1.6850
Ir 0.9907 1.0015 3.2780
Ir 1.5545 3.0044 7.0314
Ir 3.5358 1.0015 0.4754
Ir 4.0996 3.0044 4.2288
```

***

## CaCuAg2 (PBE-GGA)

Data for crystalline CaCuAg2 at its relaxed geometry.

Summary:
For the density of states at the Fermi level, the calculation gives 0.1997 states/eV per atom. For the calculated formation energy, the calculation gives -47.9 meV per atom. The offset from the most stable computed form is 0.223 eV/f.u. Its crystal system is tetragonal. For the electronic total energy, the calculation gives -2.9980 eV per atom.

```
4
Lattice="3.5072 0.0000 0.0000 0.0000 3.5072 0.0000 0.0000 0.0000 6.4803" Properties=species:S:1:pos:R:3 pbc="T T T"
Ca 0.0000 0.0000 0.0000
Cu 0.0000 0.0000 3.2401
Ag 1.7536 1.7536 1.8806
Ag 1.7536 1.7536 4.5997
```

***

## Nd12Tl5Ir2 (PBE-GGA)

Data for crystalline Nd12Tl5Ir2 at its relaxed geometry.

Summary:
For the density of states at the Fermi level, the calculation gives 0.9863 states/eV per atom. For the calculated formation energy, the calculation gives -210.1 meV per atom. Its crystal system is monoclinic. For the electronic total energy, the calculation gives -4.7768 eV per atom.

```
19
Lattice="8.7819 -4.0024 0.0000 8.7819 4.0024 0.0000 -2.8548 0.0000 9.5814" Properties=species:S:1:pos:R:3 pbc="T T T"
Nd -0.6524 0.0000 2.2380
Nd 3.3165 2.1188 8.6987
Nd 4.9281 1.9653 4.0723
Nd 11.3925 2.1188 0.8827
Nd 9.7809 1.9653 5.5091
Nd 8.0800 0.0000 1.6823
Nd 6.6291 0.0000 7.8991
Nd 4.9281 -1.9653 4.0723
Nd 3.3165 -2.1188 8.6987
Nd 9.7809 -1.9653 5.5091
Nd 11.3925 -2.1188 0.8827
Nd 15.3615 0.0000 7.3434
Tl 0.9826 0.0000 8.0436
Tl 2.4228 0.0000 3.5346
Tl 7.3545 0.0000 4.7907
Tl 12.2862 0.0000 6.0468
Tl 13.7265 0.0000 1.5378
Ir 8.7819 2.2495 0.0000
Ir 8.7819 -2.2495 0.0000
```

***

## Fe2ReCl (PBE-GGA)

Data for crystalline Fe2ReCl at its relaxed geometry.

Summary:
For the uncorrected formation energy, the calculation gives 0.376 eV per atom. For the density of states at the Fermi level, the calculation gives 1.1816 states/eV per atom. The offset from the most stable computed form is 0.407 eV/f.u. Its crystal system is orthorhombic. For the electronic total energy, the calculation gives -7.4289 eV per atom.

```
4
Lattice="1.5155 -2.3432 0.0000 1.5155 2.3432 0.0000 0.0000 0.0000 8.0677" Properties=species:S:1:pos:R:3 pbc="T T T"
Fe 0.0000 0.0000 2.0005
Fe 0.0000 0.0000 6.0672
Re 1.5155 0.0000 4.0338
Cl 1.5155 0.0000 0.0000
```

***

## AsPbSF2 (PBE-GGA)

Data for crystalline AsPbSF2 at its relaxed geometry.

Summary:
For the uncorrected formation energy, the calculation gives -0.525 eV per atom. For the density of states at the Fermi level, the calculation gives 0.3416 states/eV per atom. Its crystal system is tetragonal. For the electronic total energy, the calculation gives -3.7711 eV per atom.

```
5
Lattice="4.4399 0.0000 0.0000 0.0000 4.4399 0.0000 0.0000 0.0000 4.8390" Properties=species:S:1:pos:R:3 pbc="T T T"
As 0.0000 0.0000 0.0000
Pb 2.2200 2.2200 0.0000
S 0.0000 0.0000 2.4195
F 0.0000 2.2200 2.4195
F 2.2200 0.0000 2.4195
```

***

## Co2NiP (PBE-GGA)

Data for crystalline Co2NiP at its relaxed geometry.

Summary:
For the density of states at the Fermi level, the calculation gives 1.0826 states/eV per atom. For the calculated formation energy, the calculation gives -109.2 meV per atom. Its crystal system is orthorhombic. For the electronic total energy, the calculation gives -6.4599 eV per atom.

```
4
Lattice="2.4778 -3.1828 0.0000 2.4778 3.1828 0.0000 0.0000 0.0000 2.6863" Properties=species:S:1:pos:R:3 pbc="T T T"
Co 1.2389 1.5914 0.0000
Co 1.2389 -1.5914 0.0000
Ni 0.0000 0.0000 1.3432
P 2.4778 0.0000 1.3432
```

***

## SrW2Br (PBE-GGA)

Data for crystalline SrW2Br at its relaxed geometry.

Summary:
For the uncorrected formation energy, the calculation gives 0.293 eV per atom. For the density of states at the Fermi level, the calculation gives 0.9273 states/eV per atom. The offset from the most stable computed form is 0.242 eV/f.u. Its crystal system is tetragonal. For the electronic total energy, the calculation gives -7.0227 eV per atom.

```
4
Lattice="3.4007 0.0000 0.0000 0.0000 3.4007 0.0000 0.0000 0.0000 8.8157" Properties=species:S:1:pos:R:3 pbc="T T T"
Sr 0.0000 0.0000 0.0000
W 0.0000 0.0000 3.5847
W 1.7003 1.7003 2.5721
Br 1.7003 1.7003 6.8740
```

***

Q: Among the records above, which one has the lowest electronic total energy?
A: BeReIr